1.
# PBE HfHgSe2, optimized geometry
data_HfHgSe2
_symmetry_space_group_name_H-M 'P 1'
_symmetry_Int_Tables_number 1
_cell_length_a 3.751
_cell_length_b 3.751
_cell_length_c 10.070
_cell_angle_alpha 79.49
_cell_angle_beta 89.64
_cell_angle_gamma 60.03
loop_
_symmetry_equiv_pos_as_xyz
'x,y,z'
loop_
_atom_site_label
_atom_site_fract_x
_atom_site_fract_y
_atom_site_fract_z
_atom_site_occupancy
Hf1 0.000 0.000 0.000 1
Hg1 0.183 0.648 0.509 1
Se1 0.382 0.231 0.161 1
Se2 0.618 0.770 0.839 1
# DOS(E_F)	0.0	states/eV/f.u.
# V	30.03	Å³ per atom
# raw total energy	-21.23	eV/f.u.

***

2.
# PBE HfHgSe2, optimized geometry
data_HfHgSe2
_symmetry_space_group_name_H-M 'I -4 2 d'
_symmetry_Int_Tables_number 122
_symmetry_space_group_name_Hall 'I -4 2bw'
_cell_length_a 7.622
_cell_length_b 7.622
_cell_length_c 10.745
_cell_angle_alpha 90.00
_cell_angle_beta 90.00
_cell_angle_gamma 90.00
loop_
_atom_site_label
_atom_site_fract_x
_atom_site_fract_y
_atom_site_fract_z
_atom_site_occupancy
Hf1 0.000 0.000 0.000 1
Hg1 0.000 0.000 0.500 1
Se1 0.124 0.250 0.125 1
# DOS(E_F)	0.0	states/eV/f.u.
# V	39.01	Å³ per atom
# raw total energy	-19.94	eV/f.u.

***

3.
# PBE HfHgSe2, optimized geometry
data_HfHgSe2
_symmetry_space_group_name_H-M 'C 1 2/c 1'
_symmetry_Int_Tables_number 15
_cell_length_a 11.388
_cell_length_b 11.387
_cell_length_c 19.383
_cell_angle_alpha 90.00
_cell_angle_beta 98.39
_cell_angle_gamma 90.00
loop_
_symmetry_equiv_pos_as_xyz
'x,y,z'
'-x,-y,-z'
'-x,y,-z+1/2'
'x,-y,z+1/2'
'x+1/2,y+1/2,z'
'-x+1/2,-y+1/2,-z'
'-x+1/2,y+1/2,-z+1/2'
'x+1/2,-y+1/2,z+1/2'
loop_
_atom_site_label
_atom_site_fract_x
_atom_site_fract_y
_atom_site_fract_z
_atom_site_occupancy
Hf1 0.105 0.189 0.175 1
Hf2 0.142 0.436 0.325 1
Hg1 0.042 0.186 0.912 1
Hg2 0.212 0.439 0.590 1
Se1 0.000 0.054 0.250 1
Se2 0.000 0.430 0.750 1
Se3 0.039 0.312 0.406 1
Se4 0.212 0.062 0.096 1
Se5 0.242 0.188 0.750 1
# DOS(E_F)	0.0	states/eV/f.u.
# V	38.85	Å³ per atom
# raw total energy	-20.19	eV/f.u.

***

4.
# PBE HfHgSe2, optimized geometry
data_HfHgSe2
_symmetry_space_group_name_H-M 'C 1 c 1'
_symmetry_Int_Tables_number 9
_cell_length_a 6.471
_cell_length_b 12.067
_cell_length_c 6.832
_cell_angle_alpha 90.00
_cell_angle_beta 103.93
_cell_angle_gamma 90.00
loop_
_symmetry_equiv_pos_as_xyz
'x,y,z'
'x,-y,z+1/2'
'x+1/2,y+1/2,z'
'x+1/2,-y+1/2,z+1/2'
loop_
_atom_site_label
_atom_site_fract_x
_atom_site_fract_y
_atom_site_fract_z
_atom_site_occupancy
Hf1 0.000 0.023 0.000 1
Hg1 0.319 0.182 0.898 1
Se1 0.166 0.132 0.345 1
Se2 0.247 0.417 0.177 1
# DOS(E_F)	0.0	states/eV/f.u.
# V	32.36	Å³ per atom
# raw total energy	-20.27	eV/f.u.